Entry 1:
A plane-wave DFT calculation with PBE-GGA was carried out for a geometry-optimized NdY2AlO structure.

Cell and atoms, written as extended XYZ:
```
5
Lattice="4.7442 0.0000 0.0000 0.0000 4.7442 0.0000 0.0000 0.0000 4.9433" Properties=species:S:1:pos:R:3 pbc="T T T"
Nd 0.0000 0.0000 0.0000
Y 0.0000 2.3721 2.4717
Y 2.3721 0.0000 2.4717
Al 2.3721 2.3721 0.0000
O 0.0000 0.0000 2.4717
```

Computed properties:
Energy relative to the elements, uncorrected = -1.34 eV/atom
Space group = P4/mmm
VASP energy = -33.12 eV per cell

---

Entry 2:
A plane-wave DFT calculation with PBE-GGA was carried out for a geometry-optimized LiPmThRu structure.

Cell and atoms, written as extended XYZ:
```
4
Lattice="0.0000 3.5824 3.5824 3.5824 0.0000 3.5824 3.5824 3.5824 0.0000" Properties=species:S:1:pos:R:3 pbc="T T T"
Li 0.0000 0.0000 0.0000
Pm 5.3736 5.3736 5.3736
Th 1.7912 1.7912 1.7912
Ru 3.5824 3.5824 3.5824
```

Computed properties:
Space group = F-43m
Calculated formation energy = -146.3 meV/atom
VASP energy = -23.95 eV per cell

---

Entry 3:
A plane-wave DFT calculation with PBE-GGA was carried out for a geometry-optimized TlAgPb structure.

Cell and atoms, written as extended XYZ:
```
6
Lattice="6.6506 -2.5148 0.0000 6.6506 2.5148 0.0000 -2.4859 0.0000 5.1931" Properties=species:S:1:pos:R:3 pbc="T T T"
Tl 0.7548 0.0000 1.9538
Tl 10.0605 0.0000 3.2393
Ag 0.2049 0.0000 4.8815
Ag 10.6104 0.0000 0.3115
Pb 5.3552 0.0000 0.9750
Pb 5.4600 0.0000 4.2181
```

Computed properties:
Space group = C2/m
Calculated formation energy = 90.9 meV/atom
VASP energy = -17.31 eV per cell

---

Entry 4:
A plane-wave DFT calculation with PBE-GGA was carried out for a geometry-optimized Sc2MoPt structure.

Cell and atoms, written as extended XYZ:
```
4
Lattice="-1.6790 2.2280 4.8340 1.6790 -2.2280 4.8340 1.6790 2.2280 -4.8340" Properties=species:S:1:pos:R:3 pbc="T T T"
Sc 0.0000 0.0000 0.0000
Sc 0.0000 2.2280 2.2326
Mo 1.6790 0.0000 2.4385
Pt 0.0000 0.0000 4.6681
```

Computed properties:
Space group = Imm2
Calculated formation energy = -438.4 meV/atom
VASP energy = -31.29 eV per cell

---

Entry 5:
A plane-wave DFT calculation with PBE-GGA was carried out for a geometry-optimized Y3Ga2Si2 structure.

Cell and atoms, written as extended XYZ:
```
7
Lattice="5.3081 -2.1304 0.0000 5.3081 2.1304 0.0000 -2.7869 0.0000 6.7261" Properties=species:S:1:pos:R:3 pbc="T T T"
Y 0.0000 0.0000 0.0000
Y 0.1320 0.0000 4.2126
Y 7.6975 0.0000 2.5135
Ga 3.0995 0.0000 0.4866
Ga 4.7300 0.0000 6.2395
Si 3.1382 0.0000 4.3853
Si 4.6912 0.0000 2.3408
```

Computed properties:
Energy relative to the elements, uncorrected = -0.71 eV/atom
Space group = C2/m
VASP energy = -41.27 eV per cell

---

Entry 6:
A plane-wave DFT calculation with PBE-GGA was carried out for a geometry-optimized Ca2HoSb3Pt4 structure.

Cell and atoms, written as extended XYZ:
```
10
Lattice="4.5211 0.0000 0.0000 0.0000 4.5211 0.0000 0.0000 0.0000 11.4271" Properties=species:S:1:pos:R:3 pbc="T T T"
Ca 0.0000 2.2605 2.5119
Ca 2.2605 0.0000 8.9152
Ho 0.0000 0.0000 5.7136
Sb 0.0000 2.2605 9.9533
Sb 2.2605 0.0000 1.4738
Sb 2.2605 2.2605 5.7136
Pt 0.0000 0.0000 0.0000
Pt 0.0000 2.2605 7.3607
Pt 2.2605 0.0000 4.0665
Pt 2.2605 2.2605 0.0000
```

Computed properties:
Energy relative to the elements, uncorrected = -0.86 eV/atom
Space group = P-4m2
VASP energy = -53.76 eV per cell